Tl3MoO7 after structural relaxation, computed with PBE+U.

Cell and atoms, written as CIF:
```
data_Tl3MoO7
_cell_length_a 10.875
_cell_length_b 7.727
_cell_length_c 7.603
_cell_angle_alpha 90.00
_cell_angle_beta 90.00
_cell_angle_gamma 90.00
_space_group_name_H-M_alt 'C m c m'
_space_group_IT_number 63
_space_group_name_Hall '-C 2c 2'
loop_
_atom_site_label
_atom_site_type_symbol
_atom_site_fract_x
_atom_site_fract_y
_atom_site_fract_z
Tl1 Tl 0.000 0.037 0.250
Tl2 Tl 0.250 0.250 0.000
Mo1 Mo 0.000 0.493 0.750
O1 O 0.000 0.500 0.000
O2 O 0.123 0.307 0.250
O3 O 0.130 0.334 0.750
O4 O 0.139 0.000 0.000
```

Computed properties:
E_tot, eV for the cell shown: -238.915